No. 1
VASP calculation (GGA-PBE) on an optimized crystal structure of TcP2Cl.

Its energy relative to the elements, uncorrected is 236 kJ/mol of formula units. The calculation puts the density of states at the Fermi level at 0.764 states/eV per atom. The value obtained for the distance to the lowest polymorph of the same formula is 773 meV per atom. The theoretical density comes out at 5.6 g/cm³.

a b c (Å): 6.1422 6.1422 6.1422
angles (deg): 90.00 90.00 90.00
Space group F-43m (No. 216)
Asymmetric unit:
Tc1 0.0000 0.0000 0.0000 [4 per cell]
P1 0.0000 0.0000 0.5000 [4 per cell]
P2 0.2500 0.2500 0.2500 [4 per cell]
Cl1 0.2500 0.2500 0.7500 [4 per cell]

No. 2
VASP calculation (GGA-PBE) on an optimized crystal structure of TcPCl2.

Its energy relative to the elements, uncorrected is -12 kJ/mol of formula units. The calculation puts the density of states at the Fermi level at 0.421 states/eV per atom. The value obtained for the distance to the lowest polymorph of the same formula is 413 meV per atom. The theoretical density comes out at 3.7 g/cm³.

a b c (Å): 2.9504 4.0531 14.9859
angles (deg): 90.00 90.00 90.00
Space group Immm (No. 71)
Asymmetric unit:
Tc1 0.0000 0.0000 0.0000 [2 per cell]
P1 0.0000 0.0000 0.5000 [2 per cell]
Cl1 0.0000 0.5000 0.3632 [4 per cell]

No. 3
VASP calculation (GGA-PBE) on an optimized crystal structure of TcPCl.

Its energy relative to the elements, uncorrected is 275 kJ/mol of formula units. The calculation puts the density of states at the Fermi level at 0.670 states/eV per atom. The value obtained for the distance to the lowest polymorph of the same formula is 1076 meV per atom. The theoretical density comes out at 5.3 g/cm³.

a b c (Å): 5.9007 5.9007 5.9007
angles (deg): 90.00 90.00 90.00
Space group F-43m (No. 216)
Asymmetric unit:
Tc1 0.0000 0.0000 0.0000 [4 per cell]
P1 0.2500 0.2500 0.7500 [4 per cell]
Cl1 0.0000 0.0000 0.5000 [4 per cell]

No. 4
VASP calculation (GGA-PBE) on an optimized crystal structure of TcP2Cl.

Its energy relative to the elements, uncorrected is -12 kJ/mol of formula units. The calculation puts the density of states at the Fermi level at 0.779 states/eV per atom. The value obtained for the distance to the lowest polymorph of the same formula is 130 meV per atom. The theoretical density comes out at 5.0 g/cm³.

a b c (Å): 3.1562 3.1562 22.4520
angles (deg): 90.00 90.00 120.00
Space group R-3m (No. 166, hexagonal axes)
Asymmetric unit:
Tc1 0.0000 0.0000 0.0000 [3 per cell]
P1 0.0000 0.0000 0.2611 [6 per cell]
Cl1 0.0000 0.0000 0.5000 [3 per cell]

No. 5
VASP calculation (GGA-PBE) on an optimized crystal structure of TcPCl2.

Its energy relative to the elements, uncorrected is -171 kJ/mol of formula units. The calculation puts the density of states at the Fermi level at 0.574 states/eV per atom. The value obtained for the distance to the lowest polymorph of the same formula is 0 meV per atom. The theoretical density comes out at 4.0 g/cm³.

a b c (Å): 5.7214 3.3023 8.7223
angles (deg): 90.00 90.32 90.00
Space group Cm (No. 8)
Asymmetric unit:
Tc1 0.0000 0.0000 0.0000 [2 per cell]
P1 0.1654 0.5000 0.8486 [2 per cell]
Cl1 0.1630 0.5000 0.6172 [2 per cell]
Cl2 0.3349 0.0000 0.2086 [2 per cell]

No. 6
VASP calculation (GGA-PBE) on an optimized crystal structure of TcPCl2.

Its energy relative to the elements, uncorrected is 71 kJ/mol of formula units. The calculation puts the density of states at the Fermi level at 0.944 states/eV per atom. The value obtained for the distance to the lowest polymorph of the same formula is 628 meV per atom. The theoretical density comes out at 4.1 g/cm³.

a b c (Å): 3.1051 5.6706 9.2627
angles (deg): 90.00 90.00 90.00
Space group Cmm2 (No. 35)
Asymmetric unit:
Tc1 0.0000 0.0000 0.0000 [2 per cell]
P1 0.0000 0.5000 0.8196 [2 per cell]
Cl1 0.0000 0.0000 0.6040 [2 per cell]
Cl2 0.0000 0.5000 0.2088 [2 per cell]